[1]
Below is a relaxed structure of FeSiHg2, with properties calculated at the GGA-PBEsol level.

a b c (Å): 4.9537 4.9537 3.0768
angles (deg): 90.00 90.00 113.28
Closest atoms and distances in Å follow each position.
Fractional positions:
Fe 0.0000 0.0000 0.0000  2 Si 2.72, 8 Hg 2.92
Si 0.5000 0.5000 0.0000  2 Fe 2.72, 8 Hg 2.92
Hg 0.0000 0.5000 0.5000  2 Hg 2.72, 4 Fe 2.92, 4 Si 2.92
Hg 0.5000 0.0000 0.5000  2 Hg 2.72, 4 Fe 2.92, 4 Si 2.92

Calculated values
- crystal system = orthorhombic
- magnetization (μB/f.u.) = 2.665
- ΔE_f (raw) (meV/atom) = 504

=====

[2]
Below is a relaxed structure of FeCu2TcBr, with properties calculated at the GGA-PBEsol level.

a b c (Å): 4.3860 4.3860 4.2807
angles (deg): 90.00 90.00 90.00
Closest atoms and distances in Å follow each position.
Fractional positions:
Fe 0.0000 0.0000 0.0000  2 Br 2.14
Cu 0.0000 0.5000 0.5000  2 Br 2.19
Cu 0.5000 0.0000 0.5000  2 Br 2.19
Tc 0.5000 0.5000 0.0000  8 Cu 3.06, 4 Fe 3.10
Br 0.0000 0.0000 0.5000  2 Fe 2.14, 4 Cu 2.19

Calculated values
- crystal system = tetragonal
- magnetization (μB/f.u.) = 4.485
- ΔE_f (raw) (meV/atom) = 1633

=====

[3]
Below is a relaxed structure of CdFeRe2Sb, with properties calculated at the GGA-PBEsol level.

a b c (Å): 4.8932 4.8932 5.0215
angles (deg): 90.00 90.00 90.00
Closest atoms and distances in Å follow each position.
Fractional positions:
Cd 0.0000 0.0000 0.0000  4 Re 2.45, 2 Sb 2.51
Fe 0.5000 0.5000 0.5000  4 Sb 3.46, 8 Re 3.51
Re 0.0000 0.5000 0.0000  2 Cd 2.45
Re 0.5000 0.0000 0.0000  2 Cd 2.45
Sb 0.0000 0.0000 0.5000  2 Cd 2.51

Calculated values
- crystal system = tetragonal
- magnetization (μB/f.u.) = 7.053
- ΔE_f (raw) (meV/atom) = 3054

=====

[4]
Below is a relaxed structure of Tl2GaNiBi, with properties calculated at the GGA-PBEsol level.

a b c (Å): 4.9757 4.9757 5.1639
angles (deg): 90.00 90.00 90.00
Closest atoms and distances in Å follow each position.
Fractional positions:
Tl 0.0000 0.5000 0.0000  2 Ni 2.49
Tl 0.5000 0.0000 0.0000  2 Ni 2.49
Ga 0.0000 0.0000 0.5000  4 Bi 3.52, 8 Tl 3.59
Ni 0.5000 0.5000 0.0000  4 Tl 2.49, 2 Bi 2.58
Bi 0.5000 0.5000 0.5000  2 Ni 2.58

Calculated values
- crystal system = tetragonal
- magnetization (μB/f.u.) = 0.000
- DFT formation energy (meV per atom) = 207.7

=====

Question: What is the magnetization in the first record?
Answer: 2.665 μB/f.u.

=====

Question: What is the formula in the third record?
Answer: CdFeRe2Sb